Below is CuTeAs2 after structural relaxation, with properties calculated at the PBE level.

Cell: 3.541 3.541 6.359 Å, 90.00 90.00 90.00°
Sites, in units of the cell vectors:
Cu: 0.000 0.000 0.000
Te: 0.000 0.000 0.500
As: 0.500 0.500 0.196
As: 0.500 0.500 0.804

Computed properties:
SG = No. 123
ΔE_f (raw) = 138 kJ/mol of formula units
Size of the total moment = 0.0 μB per formula unit
N(E_F) = 2.53 states/eV/cell